First-principles (meta-GGA SCAN) data for MgTe2W at its PBEsol-relaxed geometry, as listed in Alexandria via LeMat-Bulk.

abc: 7.3539 7.3539 7.3539
angles: 152.72 150.73 40.43
With the nearest neighbours (Å) after each atom.
Fractional positions:
1 Mg 0.0000 0.0000 0.0000  6 Te 2.91
2 Te 0.3378 0.8378 0.5000  4 W 2.79, 2 Mg 2.91
3 Te 0.6032 0.6032 0.0000  2 W 2.72, 4 Mg 2.91
4 W 0.7549 0.2549 0.5000  6 Te 2.72-2.79

E_form (uncorrected) = 1.03 eV per formula unit
Symmetry = Imm2, No. 44
Spin magnetization = 0.00 Bohr magnetons per cell
ρ = 8.7 g/cm3

First-principles (meta-GGA SCAN) data for Hf2AlFe2 at its PBEsol-relaxed geometry, as listed in Alexandria via LeMat-Bulk.

abc: 6.2473 6.2473 3.9263
angles: 90.00 90.00 90.00
With the nearest neighbours (Å) after each atom.
Fractional positions:
1 Hf 0.1858 0.3142 0.0000  6 Fe 2.62-2.76
2 Hf 0.3142 0.8142 0.0000  6 Fe 2.62-2.76
3 Hf 0.6858 0.1858 0.0000  6 Fe 2.62-2.76
4 Hf 0.8142 0.6858 0.0000  6 Fe 2.62-2.76
5 Al 0.0000 0.0000 0.5000  4 Fe 2.50
6 Al 0.5000 0.5000 0.5000  4 Fe 2.50
7 Fe 0.1181 0.6181 0.5000  1 Fe 2.09
8 Fe 0.3819 0.1181 0.5000  1 Fe 2.09
9 Fe 0.6181 0.8819 0.5000  1 Fe 2.09
10 Fe 0.8819 0.3819 0.5000  1 Fe 2.09

Symmetry = P4/mbm, No. 127
Spin magnetization = 5.49 Bohr magnetons per cell
Energy of formation from the pure elements = -0.1996 eV/atom
ρ = 10.7 g/cm3

First-principles (meta-GGA SCAN) data for BaMn2WO at its PBEsol-relaxed geometry, as listed in Alexandria via LeMat-Bulk.

abc: 4.6879 4.6879 3.9269
angles: 90.00 90.00 90.00
With the nearest neighbours (Å) after each atom.
Fractional positions:
1 Ba 0.0000 0.0000 0.0000  8 Mn 3.06, 4 W 3.31
2 Mn 0.0000 0.5000 0.5000  2 O 2.34
3 Mn 0.5000 0.0000 0.5000  2 O 2.34
4 W 0.5000 0.5000 0.0000  2 O 1.96
5 O 0.5000 0.5000 0.5000  2 W 1.96

E_form (uncorrected) = 1.83 eV per formula unit
Symmetry = P4/mmm, No. 123
Spin magnetization = 6.60 Bohr magnetons per cell
ρ = 8.6 g/cm3

First-principles (meta-GGA SCAN) data for ScSn2Au at its PBEsol-relaxed geometry, as listed in Alexandria via LeMat-Bulk.

abc: 4.9515 4.9515 4.9515
angles: 60.00 60.00 60.00
With the nearest neighbours (Å) after each atom.
Fractional positions:
1 Sc 0.0000 0.0000 0.0000  8 Sn 3.03
2 Sn 0.2500 0.2500 0.2500  4 Sc 3.03, 4 Au 3.03
3 Sn 0.7500 0.7500 0.7500  4 Sc 3.03, 4 Au 3.03
4 Au 0.5000 0.5000 0.5000  8 Sn 3.03

Symmetry = Fm-3m, No. 225
Spin magnetization = 0.00 Bohr magnetons per cell
Energy of formation from the pure elements = -0.1346 eV/atom
ρ = 9.3 g/cm3

First-principles (meta-GGA SCAN) data for Cr3Tc at its PBEsol-relaxed geometry, as listed in Alexandria via LeMat-Bulk.

abc: 4.5923 4.5923 4.5923
angles: 90.00 90.00 90.00
With the nearest neighbours (Å) after each atom.
Fractional positions:
1 Cr 0.0000 0.2500 0.5000  2 Cr 2.30, 4 Tc 2.57
2 Cr 0.0000 0.7500 0.5000  2 Cr 2.30, 4 Tc 2.57
3 Cr 0.2500 0.5000 0.0000  2 Cr 2.30, 4 Tc 2.57
4 Cr 0.5000 0.0000 0.2500  2 Cr 2.30, 4 Tc 2.57
5 Cr 0.5000 0.0000 0.7500  2 Cr 2.30, 4 Tc 2.57
6 Cr 0.7500 0.5000 0.0000  2 Cr 2.30, 4 Tc 2.57
7 Tc 0.0000 0.0000 0.0000  12 Cr 2.57
8 Tc 0.5000 0.5000 0.5000  12 Cr 2.57

Symmetry = Pm-3n, No. 223
Spin magnetization = 0.00 Bohr magnetons per cell
Energy of formation from the pure elements = 0.0711 eV/atom
ρ = 8.7 g/cm3

First-principles (meta-GGA SCAN) data for CdMoIrPd2 at its PBEsol-relaxed geometry, as listed in Alexandria via LeMat-Bulk.

abc: 4.6963 4.6963 4.8337
angles: 90.00 90.00 90.00
With the nearest neighbours (Å) after each atom.
Fractional positions:
1 Cd 0.0000 0.0000 0.0000  4 Pd 2.35, 2 Ir 2.42
2 Mo 0.5000 0.5000 0.5000  4 Ir 3.32, 8 Pd 3.37
3 Ir 0.0000 0.0000 0.5000  2 Cd 2.42
4 Pd 0.0000 0.5000 0.0000  2 Cd 2.35
5 Pd 0.5000 0.0000 0.0000  2 Cd 2.35

Symmetry = P4/mmm, No. 123
Spin magnetization = 3.31 Bohr magnetons per cell
Energy of formation from the pure elements = 1.8364 eV/atom
ρ = 9.6 g/cm3

First-principles (meta-GGA SCAN) data for Al2OsRu at its PBEsol-relaxed geometry, as listed in Alexandria via LeMat-Bulk.

abc: 8.2181 8.2181 8.2181
angles: 19.74 19.74 19.74
With the nearest neighbours (Å) after each atom.
Fractional positions:
1 Al 0.2487 0.2487 0.2487  3 Ru 2.57, 3 Os 2.61, 6 Al 2.82
2 Al 0.7513 0.7513 0.7513  3 Ru 2.57, 3 Os 2.61, 6 Al 2.82
3 Os 0.0000 0.0000 0.0000  6 Al 2.61, 6 Os 2.82
4 Ru 0.5000 0.5000 0.5000  6 Al 2.57, 6 Ru 2.82

Symmetry = R-3m, No. 166
Spin magnetization = 0.00 Bohr magnetons per cell
Energy of formation from the pure elements = -0.4001 eV/atom
ρ = 10.4 g/cm3

First-principles (meta-GGA SCAN) data for In2SbP at its PBEsol-relaxed geometry, as listed in Alexandria via LeMat-Bulk.

abc: 3.7004 3.5675 7.5126
angles: 90.00 103.93 90.00
With the nearest neighbours (Å) after each atom.
Fractional positions:
1 In 0.0000 0.0000 0.0000  4 P 2.85-2.86
2 In 0.3600 0.5000 0.7155  4 Sb 3.28-3.30, 6 In 3.30-3.57, 1 P 3.33
3 Sb 0.7164 0.0000 0.4334  2 P 2.61
4 P 0.5862 0.5000 0.1719  2 Sb 2.61, 4 In 2.85-2.86

E_form (uncorrected) = 0.70 eV per formula unit
Symmetry = Pm, No. 6
Spin magnetization = 0.00 Bohr magnetons per cell
ρ = 6.6 g/cm3
E above lowest polymorph = 0 kJ/mol of formula units

First-principles (meta-GGA SCAN) data for CsSrSb2Pb at its PBEsol-relaxed geometry, as listed in Alexandria via LeMat-Bulk.

abc: 5.9897 5.9897 6.0007
angles: 90.00 90.00 90.00
With the nearest neighbours (Å) after each atom.
Fractional positions:
1 Cs 0.0000 0.0000 0.0000  4 Sr 4.24, 8 Sb 4.24
2 Sr 0.5000 0.5000 0.0000  2 Pb 3.00
3 Sb 0.0000 0.5000 0.5000  2 Pb 2.99
4 Sb 0.5000 0.0000 0.5000  2 Pb 2.99
5 Pb 0.5000 0.5000 0.5000  4 Sb 2.99, 2 Sr 3.00

E_form (uncorrected) = -0.06 eV per formula unit
Symmetry = P4/mmm, No. 123
Spin magnetization = 0.00 Bohr magnetons per cell
ρ = 5.2 g/cm3

First-principles (meta-GGA SCAN) data for LiRe2Sb at its PBEsol-relaxed geometry, as listed in Alexandria via LeMat-Bulk.

abc: 5.0472 5.0472 5.0472
angles: 135.94 135.94 64.07
With the nearest neighbours (Å) after each atom.
Fractional positions:
1 Li 0.0000 0.0000 0.0000  4 Sb 2.68, 8 Re 2.86
2 Re 0.2500 0.7500 0.5000  4 Re 2.68, 4 Sb 2.86, 4 Li 2.86
3 Re 0.7500 0.2500 0.5000  4 Re 2.68, 4 Sb 2.86, 4 Li 2.86
4 Sb 0.5000 0.5000 0.0000  4 Li 2.68, 8 Re 2.86

E_form (uncorrected) = 1.96 eV per formula unit
Symmetry = I4/mmm, No. 139
Spin magnetization = 0.00 Bohr magnetons per cell
ρ = 13.6 g/cm3

First-principles (meta-GGA SCAN) data for TiCBr3 at its PBEsol-relaxed geometry, as listed in Alexandria via LeMat-Bulk.

abc: 5.0034 5.0034 5.0034
angles: 90.00 90.00 90.00
With the nearest neighbours (Å) after each atom.
Fractional positions:
1 Ti 0.0000 0.0000 0.0000  6 Br 2.50
2 C 0.5000 0.5000 0.5000  12 Br 3.54
3 Br 0.0000 0.0000 0.5000  2 Ti 2.50
4 Br 0.0000 0.5000 0.0000  2 Ti 2.50
5 Br 0.5000 0.0000 0.0000  2 Ti 2.50

E_form (uncorrected) = 2.93 eV per formula unit
Symmetry = Pm-3m, No. 221
Spin magnetization = 3.00 Bohr magnetons per cell
ρ = 4.0 g/cm3

First-principles (meta-GGA SCAN) data for ScMnBiB2 at its PBEsol-relaxed geometry, as listed in Alexandria via LeMat-Bulk.

abc: 4.6410 4.6410 5.4419
angles: 90.00 90.00 90.00
With the nearest neighbours (Å) after each atom.
Fractional positions:
1 Sc 0.0000 0.0000 0.0000  2 Bi 2.72
2 Mn 0.5000 0.5000 0.0000  4 Sc 3.28, 8 B 3.58
3 Bi 0.0000 0.0000 0.5000  4 B 2.32
4 B 0.0000 0.5000 0.5000  2 Bi 2.32
5 B 0.5000 0.0000 0.5000  2 Bi 2.32

Symmetry = P4/mmm, No. 123
Spin magnetization = 4.91 Bohr magnetons per cell
Energy of formation from the pure elements = 1.9327 eV/atom
ρ = 4.7 g/cm3

Repeat the first record exactly.
First-principles (meta-GGA SCAN) data for MgTe2W at its PBEsol-relaxed geometry, as listed in Alexandria via LeMat-Bulk.

abc: 7.3539 7.3539 7.3539
angles: 152.72 150.73 40.43
With the nearest neighbours (Å) after each atom.
Fractional positions:
1 Mg 0.0000 0.0000 0.0000  6 Te 2.91
2 Te 0.3378 0.8378 0.5000  4 W 2.79, 2 Mg 2.91
3 Te 0.6032 0.6032 0.0000  2 W 2.72, 4 Mg 2.91
4 W 0.7549 0.2549 0.5000  6 Te 2.72-2.79

E_form (uncorrected) = 1.03 eV per formula unit
Symmetry = Imm2, No. 44
Spin magnetization = 0.00 Bohr magnetons per cell
ρ = 8.7 g/cm3